Entry 1:
This record from Alexandria describes a relaxed structure of La2TbPm6Sm. The functional is GGA-PBE.

a b c (Å): 10.119 8.904 8.904
angles (deg): 117.94 95.26 95.26
Atoms (fractional coordinates):
1 La 0.460 0.808 0.711
2 La 0.040 0.289 0.192
3 La 0.540 0.192 0.289
4 La 0.960 0.711 0.808
5 Tb 0.250 0.405 0.595
6 Tb 0.750 0.595 0.405
7 Pm 0.056 0.121 0.739
8 Pm 0.444 0.261 0.879
9 Pm 0.944 0.879 0.261
10 Pm 0.556 0.739 0.121
11 Pm 0.311 0.981 0.420
12 Pm 0.189 0.580 0.019
13 Pm 0.689 0.019 0.580
14 Pm 0.811 0.420 0.981
15 Pm 0.121 0.703 0.497
16 Pm 0.379 0.503 0.297
17 Pm 0.879 0.297 0.503
18 Pm 0.621 0.497 0.703
19 Sm 0.250 0.988 0.012
20 Sm 0.750 0.012 0.988

## Properties
- Formation energy from the elements: 11 kJ/mol of atoms
- Raw total energy: -93.16 eV per cell
- Density of states at the Fermi level: 15.4 states/eV/f.u.

***

Entry 2:
This record from Alexandria describes a relaxed structure of La4Tb2Pm2Sm. The functional is GGA-PBE.

a b c (Å): 5.217 8.215 8.170
angles (deg): 107.43 90.00 108.52
Atoms (fractional coordinates):
1 La 0.777 0.553 0.669
2 La 0.223 0.447 0.331
3 La 0.555 0.109 0.330
4 La 0.445 0.891 0.670
5 Tb 0.333 0.665 0.000
6 Tb 0.667 0.335 0.000
7 Pm 0.888 0.776 0.330
8 Pm 0.112 0.224 0.670
9 Sm 0.000 0.000 0.000

## Properties
- Formation energy from the elements: 2 kJ/mol of atoms
- Raw total energy: -42.99 eV per cell
- Density of states at the Fermi level: 16.4 states/eV/f.u.

***

Entry 3:
This record from Alexandria describes a relaxed structure of LaTbPm4Sm2. The functional is GGA-PBE.

a b c (Å): 3.657 12.132 6.293
angles (deg): 79.74 90.00 90.00
Atoms (fractional coordinates):
1 La 0.500 0.500 0.000
2 Tb 0.000 0.500 0.500
3 Pm 0.000 0.752 0.748
4 Pm 0.000 0.248 0.252
5 Pm 0.500 0.750 0.250
6 Pm 0.500 0.250 0.750
7 Sm 0.000 0.000 0.000
8 Sm 0.500 0.000 0.500

## Properties
- Formation energy from the elements: 2 kJ/mol of atoms
- Raw total energy: -37.86 eV per cell
- Density of states at the Fermi level: 12.6 states/eV/f.u.

***

Entry 4:
This record from Alexandria describes a relaxed structure of La2TbPm6Sm3. The functional is GGA-PBE.

a b c (Å): 6.335 6.335 12.132
angles (deg): 95.03 95.03 120.00
Atoms (fractional coordinates):
1 La 0.333 0.667 0.000
2 La 0.667 0.333 0.000
3 Tb 0.000 0.000 0.000
4 Pm 0.916 0.584 0.748
5 Pm 0.752 0.752 0.252
6 Pm 0.084 0.416 0.252
7 Pm 0.584 0.916 0.748
8 Pm 0.248 0.248 0.748
9 Pm 0.416 0.084 0.252
10 Sm 0.166 0.834 0.500
11 Sm 0.834 0.166 0.500
12 Sm 0.500 0.500 0.500

## Properties
- Formation energy from the elements: 2 kJ/mol of atoms
- Raw total energy: -56.95 eV per cell
- Density of states at the Fermi level: 19.1 states/eV/f.u.

***

> Among the records above, which one has the highest density of states at the Fermi level?

La2TbPm6Sm3

***

What did the second record say?
This record from Alexandria describes a relaxed structure of La4Tb2Pm2Sm. The functional is GGA-PBE.

a b c (Å): 5.217 8.215 8.170
angles (deg): 107.43 90.00 108.52
Atoms (fractional coordinates):
1 La 0.777 0.553 0.669
2 La 0.223 0.447 0.331
3 La 0.555 0.109 0.330
4 La 0.445 0.891 0.670
5 Tb 0.333 0.665 0.000
6 Tb 0.667 0.335 0.000
7 Pm 0.888 0.776 0.330
8 Pm 0.112 0.224 0.670
9 Sm 0.000 0.000 0.000

## Properties
- Formation energy from the elements: 2 kJ/mol of atoms
- Raw total energy: -42.99 eV per cell
- Density of states at the Fermi level: 16.4 states/eV/f.u.

***

Copy entry 4 word for word.
This record from Alexandria describes a relaxed structure of La2TbPm6Sm3. The functional is GGA-PBE.

a b c (Å): 6.335 6.335 12.132
angles (deg): 95.03 95.03 120.00
Atoms (fractional coordinates):
1 La 0.333 0.667 0.000
2 La 0.667 0.333 0.000
3 Tb 0.000 0.000 0.000
4 Pm 0.916 0.584 0.748
5 Pm 0.752 0.752 0.252
6 Pm 0.084 0.416 0.252
7 Pm 0.584 0.916 0.748
8 Pm 0.248 0.248 0.748
9 Pm 0.416 0.084 0.252
10 Sm 0.166 0.834 0.500
11 Sm 0.834 0.166 0.500
12 Sm 0.500 0.500 0.500

## Properties
- Formation energy from the elements: 2 kJ/mol of atoms
- Raw total energy: -56.95 eV per cell
- Density of states at the Fermi level: 19.1 states/eV/f.u.

***

> Which formula does entry 3 have?

LaTbPm4Sm2